DFT (GGA-PBE) results for an optimized crystal structure of BaSrCuGe.

Unit cell a=4.399 b=4.399 c=8.853 alpha=75.61 beta=75.61 gamma=60.00
Atoms (fractional coordinates):
Ba1 0.025 0.025 0.926
Sr1 0.191 0.191 0.426
Cu1 0.780 0.780 0.661
Ge1 0.445 0.445 0.665

Output
The crystal system is trigonal. For the offset from the most stable computed form, the calculation gives 0.0000 eV/atom. The calculation puts the formation enthalpy at 0 K at -0.350 eV/atom. As for the calculated total energy: -13.72 eV for the cell shown.

DFT (GGA-PBE) results for an optimized crystal structure of InRe2Os.

Unit cell a=7.526 b=7.526 c=5.933 alpha=50.64 beta=50.64 gamma=90.00
Atoms (fractional coordinates):
Re1 0.679 0.125 0.250
Re2 0.071 0.625 0.250
Re3 0.375 0.321 0.750
Re4 0.875 0.929 0.750
Os1 0.000 0.000 0.000
Os2 0.750 0.250 0.500
In1 0.500 0.500 0.000
In2 0.250 0.750 0.500

Output
The crystal system is tetragonal. The calculation puts the formation enthalpy at 0 K at 1.005 eV/atom. As for the calculated total energy: -69.69 eV for the cell shown.

DFT (GGA-PBE) results for an optimized crystal structure of TlAgSb2.

Unit cell a=7.189 b=7.189 c=7.189 alpha=146.81 beta=145.28 gamma=48.80
Atoms (fractional coordinates):
Sb1 0.923 0.923 0.000
Sb2 0.752 0.252 0.500
Tl1 0.551 0.551 0.000
Ag1 0.273 0.773 0.500

Output
The crystal system is orthorhombic. As for the calculated total energy: -12.98 eV for the cell shown. Its formation energy from raw total energies is 121 meV per atom.

DFT (GGA-PBE) results for an optimized crystal structure of LaTiC.

Unit cell a=3.594 b=3.594 c=9.200 alpha=90.00 beta=90.00 gamma=90.00
Atoms (fractional coordinates):
C1 0.500 0.000 0.650
C2 0.000 0.500 0.350
La1 0.500 0.000 0.204
La2 0.000 0.500 0.796
Ti1 0.500 0.500 0.500
Ti2 0.000 0.000 0.500

Output
The crystal system is tetragonal. The calculation puts the formation enthalpy at 0 K at -0.168 eV/atom. As for the calculated total energy: -45.10 eV for the cell shown.

Please write out number 4 again, unchanged.
DFT (GGA-PBE) results for an optimized crystal structure of LaTiC.

Unit cell a=3.594 b=3.594 c=9.200 alpha=90.00 beta=90.00 gamma=90.00
Atoms (fractional coordinates):
C1 0.500 0.000 0.650
C2 0.000 0.500 0.350
La1 0.500 0.000 0.204
La2 0.000 0.500 0.796
Ti1 0.500 0.500 0.500
Ti2 0.000 0.000 0.500

Output
The crystal system is tetragonal. The calculation puts the formation enthalpy at 0 K at -0.168 eV/atom. As for the calculated total energy: -45.10 eV for the cell shown.

- The highest calculated total energy belongs to which entry?
  TlAgSb2